1.
{"formula": "LiCoSiO4", "functional": "GGA+U", "state": "optimized geometry", "lattice_angstrom": [[-7.6334, 0.8295, 3.8205], [2.6182, -8.0877, 1.1348], [5.5302, 5.1278, 4.0837]], "species": ["Li", "Li", "Li", "Li", "Li", "Li", "Co", "Co", "Co", "Co", "Co", "Co", "Si", "Si", "Si", "Si", "Si", "Si", "O", "O", "O", "O", "O", "O", "O", "O", "O", "O", "O", "O", "O", "O", "O", "O", "O", "O", "O", "O", "O", "O", "O", "O"], "fractional_positions": [[0.8958, 0.1206, 0.7227], [0.4289, 0.2093, 0.6083], [0.6083, 0.4289, 0.2093], [0.7227, 0.8958, 0.1206], [0.2093, 0.6083, 0.4289], [0.1206, 0.7227, 0.8958], [0.4579, 0.0513, 0.2354], [0.7656, 0.5346, 0.9433], [0.9433, 0.7656, 0.5346], [0.0513, 0.2354, 0.4579], [0.2354, 0.4579, 0.0513], [0.5346, 0.9433, 0.7656], [0.8770, 0.2799, 0.0937], [0.7941, 0.3862, 0.5701], [0.2799, 0.0937, 0.8770], [0.3862, 0.5701, 0.7941], [0.5701, 0.7941, 0.3862], [0.0937, 0.8770, 0.2799], [0.9941, 0.3046, 0.9739], [0.7278, 0.0651, 0.0025], [0.9142, 0.2682, 0.5858], [0.7673, 0.4078, 0.0851], [0.9280, 0.6009, 0.6375], [0.6365, 0.2935, 0.3590], [0.6919, 0.3733, 0.7040], [0.4078, 0.0851, 0.7673], [0.3039, 0.0224, 0.3503], [0.3503, 0.3039, 0.0224], [0.0651, 0.0025, 0.7278], [0.7040, 0.6919, 0.3733], [0.9739, 0.9941, 0.3046], [0.6009, 0.6375, 0.9280], [0.2935, 0.3590, 0.6365], [0.3590, 0.6365, 0.2935], [0.6375, 0.9280, 0.6009], [0.2682, 0.5858, 0.9142], [0.5858, 0.9142, 0.2682], [0.3733, 0.7040, 0.6919], [0.0224, 0.3503, 0.3039], [0.3046, 0.9739, 0.9941], [0.0851, 0.7673, 0.4078], [0.0025, 0.7278, 0.0651]], "relative_energy_ev_per_atom": 0.0000, "total_magnetization_mub_per_cell": 24.227, "energy_ev_per_atom": -6.6090}


2.
{"formula": "Li2Co2Si2O7", "functional": "GGA+U", "state": "optimized geometry", "lattice_angstrom": [[-1.7761, -0.6910, 4.4822], [5.8625, -11.9032, 0.6128], [2.7560, 1.5210, 3.7025]], "species": ["Li", "Li", "Li", "Li", "Co", "Co", "Co", "Co", "Si", "Si", "Si", "Si", "O", "O", "O", "O", "O", "O", "O", "O", "O", "O", "O", "O", "O", "O"], "fractional_positions": [[0.2351, 0.5818, 0.3681], [0.2716, 0.9171, 0.3308], [0.6672, 0.0829, 0.7302], [0.6323, 0.4183, 0.7606], [0.9985, 0.0015, 0.0013], [0.8736, 0.5005, 0.1254], [0.0030, 0.7551, 0.0007], [0.9777, 0.2496, 0.0142], [0.3110, 0.1364, 0.3799], [0.2906, 0.3605, 0.4017], [0.5960, 0.6390, 0.7102], [0.6235, 0.8628, 0.6888], [0.1562, 0.2488, 0.3466], [0.6452, 0.7506, 0.8504], [0.6703, 0.1371, 0.1172], [0.6540, 0.3692, 0.1393], [0.8893, 0.8602, 0.3317], [0.8558, 0.6306, 0.3471], [0.2750, 0.8732, 0.7157], [0.2527, 0.6403, 0.7296], [0.2761, 0.3583, 0.7427], [0.2814, 0.1277, 0.7297], [0.0887, 0.0519, 0.3493], [0.0574, 0.4452, 0.3820], [0.6157, 0.5540, 0.9428], [0.6537, 0.9473, 0.9121]], "relative_energy_ev_per_atom": 0.0423, "total_magnetization_mub_per_cell": 1.912, "energy_ev_per_atom": -6.6302}